An optimized crystal structure of Tl3InBi3Te8, computed with GGA-PBE.

Lattice parameters (Å, degrees): 15.528 8.982 9.422 90.00 123.23 90.00
Space group C2/m (No. 12)
Unique sites:
Tl  0.000  0.000  0.000 (multiplicity 2)
Tl  0.250  0.250  0.000 (multiplicity 4)
In  0.000  0.000  0.500 (multiplicity 2)
Bi  0.000  0.500  0.500 (multiplicity 2)
Bi  0.250  0.250  0.500 (multiplicity 4)
Te  0.006  0.240  0.278 (multiplicity 8)
Te  0.234  0.000  0.722 (multiplicity 4)
Te  0.243  0.500  0.731 (multiplicity 4)

Properties
* formation energy from raw total energies: -0.2509 eV/atom